(1)
DFT (PBE) results for Pb2Se after structural relaxation.

abc: 7.359 7.359 7.359
angles: 90.00 90.00 90.00
Fractional positions:
Pb1 0.133 0.133 0.133
Pb2 0.133 0.367 0.633
Pb3 0.367 0.633 0.133
Pb4 0.367 0.867 0.633
Pb5 0.633 0.133 0.367
Pb6 0.633 0.367 0.867
Pb7 0.867 0.633 0.367
Pb8 0.867 0.867 0.867
Se1 0.000 0.000 0.500
Se2 0.000 0.500 0.000
Se3 0.500 0.000 0.000
Se4 0.500 0.500 0.500

Results
Formation energy from raw total energies in eV/atom: -0.0906
SG: Pa-3, No. 205

(2)
DFT (PBE) results for Tb3HoNi after structural relaxation.

abc: 6.300 6.300 13.823
angles: 114.41 114.41 33.42
Fractional positions:
Tb1 0.000 0.000 0.000
Tb2 0.046 0.046 0.599
Tb3 0.267 0.267 0.481
Tb4 0.621 0.621 0.842
Tb5 0.694 0.694 0.240
Tb6 0.831 0.831 0.722
Ho1 0.315 0.315 0.082
Ho2 0.482 0.482 0.357
Ni1 0.318 0.318 0.873
Ni2 0.995 0.995 0.209

Results
SG: Cm, No. 8
E_tot in eV/atom: -5.0186

(3)
DFT (PBE) results for LaErTh2N4 after structural relaxation.

abc: 6.249 3.638 6.324
angles: 90.00 109.52 90.00
Fractional positions:
La1 0.000 0.000 0.000
Er1 0.000 0.500 0.500
Th1 0.500 0.000 0.500
Th2 0.500 0.500 0.000
N1 0.252 0.000 0.740
N2 0.261 0.500 0.265
N3 0.739 0.500 0.735
N4 0.748 0.000 0.260

Results
Formation energy from raw total energies in eV/atom: -1.5409
SG: P2/m, No. 10

(4)
DFT (PBE) results for Er3Ga12Ag after structural relaxation.

abc: 4.253 4.253 16.791
angles: 90.00 90.00 90.00
Fractional positions:
Er1 0.000 0.000 0.000
Er2 0.000 0.000 0.254
Er3 0.000 0.000 0.746
Ga1 0.000 0.500 0.127
Ga2 0.000 0.500 0.384
Ga3 0.000 0.500 0.616
Ga4 0.000 0.500 0.873
Ga5 0.500 0.000 0.127
Ga6 0.500 0.000 0.384
Ga7 0.500 0.000 0.616
Ga8 0.500 0.000 0.873
Ga9 0.500 0.500 0.000
Ga10 0.500 0.500 0.246
Ga11 0.500 0.500 0.500
Ga12 0.500 0.500 0.754
Ag1 0.000 0.000 0.500

Results
SG: P4/mmm, No. 123
E_tot in eV/atom: -3.6722

(5)
DFT (PBE) results for HoLuMgTl after structural relaxation.

abc: 7.469 7.469 7.469
angles: 90.00 90.00 90.00
Fractional positions:
Ho1 0.000 0.000 0.000
Ho2 0.000 0.500 0.500
Ho3 0.500 0.000 0.500
Ho4 0.500 0.500 0.000
Lu1 0.000 0.000 0.500
Lu2 0.000 0.500 0.000
Lu3 0.500 0.000 0.000
Lu4 0.500 0.500 0.500
Mg1 0.250 0.250 0.750
Mg2 0.250 0.750 0.250
Mg3 0.750 0.250 0.250
Mg4 0.750 0.750 0.750
Tl1 0.250 0.250 0.250
Tl2 0.250 0.750 0.750
Tl3 0.750 0.250 0.750
Tl4 0.750 0.750 0.250

Results
SG: F-43m, No. 216
E_tot in eV/atom: -3.4579

(6)
DFT (PBE) results for ScTiInSn after structural relaxation.

abc: 6.981 6.981 6.981
angles: 90.00 90.00 90.00
Fractional positions:
Sc1 0.000 0.000 0.000
Sc2 0.000 0.500 0.500
Sc3 0.500 0.000 0.500
Sc4 0.500 0.500 0.000
Ti1 0.000 0.000 0.500
Ti2 0.000 0.500 0.000
Ti3 0.500 0.000 0.000
Ti4 0.500 0.500 0.500
In1 0.250 0.250 0.750
In2 0.250 0.750 0.250
In3 0.750 0.250 0.250
In4 0.750 0.750 0.750
Sn1 0.250 0.250 0.250
Sn2 0.250 0.750 0.750
Sn3 0.750 0.250 0.750
Sn4 0.750 0.750 0.250

Results
SG: F-43m, No. 216
E_tot in eV/atom: -5.4566

Please write out number 2 again, unchanged.
DFT (PBE) results for Tb3HoNi after structural relaxation.

abc: 6.300 6.300 13.823
angles: 114.41 114.41 33.42
Fractional positions:
Tb1 0.000 0.000 0.000
Tb2 0.046 0.046 0.599
Tb3 0.267 0.267 0.481
Tb4 0.621 0.621 0.842
Tb5 0.694 0.694 0.240
Tb6 0.831 0.831 0.722
Ho1 0.315 0.315 0.082
Ho2 0.482 0.482 0.357
Ni1 0.318 0.318 0.873
Ni2 0.995 0.995 0.209

Results
SG: Cm, No. 8
E_tot in eV/atom: -5.0186